Entry 1:
MnAlP2O | SCAN | PBEsol geometry

Computed properties:
**V**: 15.87 A^3/atom
**ΔE_f (raw)**: -0.36 eV per atom
**Density of states at the Fermi level**: 2.82 states/eV/f.u.
**Electronic total energy**: -10.96 eV per atom

abc: 3.3074 4.8975 4.8975
angles: 90.00 90.00 90.00
Site moments in Bohr magnetons follow the coordinates.
Fractional coordinates of all 5 atoms:
O 0.5000 0.0000 0.0000  0.03
Al 0.0000 0.0000 0.0000  0.00
P 0.0000 0.5000 0.0000  -0.12
P 0.0000 0.0000 0.5000  -0.12
Mn 0.5000 0.5000 0.5000  4.40

***

Entry 2:
RbPCl2 | SCAN | PBEsol geometry

Computed properties:
**V**: 32.36 A^3/atom
**ΔE_f (raw)**: -0.51 eV per atom
**Density of states at the Fermi level**: 0.03 states/eV/f.u.
**Electronic total energy**: -12.28 eV per atom

abc: 5.7609 5.7609 8.7997
angles: 109.11 109.11 90.00
Fractional coordinates of all 8 atoms:
Rb 0.2500 0.7500 0.5000
Rb 0.0000 0.0000 0.0000
Cl 0.6250 0.5014 0.7500
Cl 0.7514 0.3750 0.2500
Cl 0.4986 0.8750 0.2500
Cl 0.1250 0.2486 0.7500
P 0.5000 0.5000 0.0000
P 0.7500 0.2500 0.5000

***

- Which value of density of states at the Fermi level does entry 1 give?
  2.82 states/eV/f.u.

***

- density of states at the Fermi level of number 1 (MnAlP2O)?
  2.82 states/eV/f.u.

***

- Which of these has the lowest density of states at the Fermi level?
  RbPCl2

***

- Number 1 is which compound?
  MnAlP2O